! LiZnCd2 | Alexandria via LeMat-Bulk | SCAN | PBEsol geometry; values from VASP
! Energy of formation ... -0.127 eV per atom
! Volume ... 18.1 Å³ per atom
&SYSTEM
  ibrav = 0, nat = 4, ntyp = 3
/
ATOMIC_SPECIES
Li 6.94 Li.upf
Zn 65.41 Zn.upf
Cd 112.41 Cd.upf
CELL_PARAMETERS angstrom
2.926 0.000 0.000
0.000 4.537 0.000
-1.476 0.000 5.445
ATOMIC_POSITIONS crystal
Li 0.000 0.000 0.000
Zn 0.601 0.500 0.203
Cd 0.358 0.500 0.709
Cd 0.737 0.000 0.466

! LiZnCd | Alexandria via LeMat-Bulk | SCAN | PBEsol geometry; values from VASP
! Energy of formation ... -0.176 eV per atom
! Distance to the lowest polymorph of the same formula ... 5.7 meV per atom
! Volume ... 16.4 Å³ per atom
&SYSTEM
  ibrav = 0, nat = 3, ntyp = 3
/
ATOMIC_SPECIES
Li 6.94 Li.upf
Zn 65.41 Zn.upf
Cd 112.41 Cd.upf
CELL_PARAMETERS angstrom
4.545 0.000 0.000
-2.273 3.936 0.000
0.000 0.000 2.743
ATOMIC_POSITIONS crystal
Li 0.000 0.000 0.000
Zn 0.333 0.667 0.306
Cd 0.667 0.333 0.617

! LiZnCd2 | Alexandria via LeMat-Bulk | SCAN | PBEsol geometry; values from VASP
! Energy of formation ... -0.123 eV per atom
! Volume ... 17.4 Å³ per atom
&SYSTEM
  ibrav = 0, nat = 4, ntyp = 3
/
ATOMIC_SPECIES
Li 6.94 Li.upf
Zn 65.41 Zn.upf
Cd 112.41 Cd.upf
CELL_PARAMETERS angstrom
3.083 0.000 0.000
0.000 3.739 0.000
0.000 0.000 6.037
ATOMIC_POSITIONS crystal
Li 0.000 0.000 0.000
Zn 0.500 0.500 0.221
Cd 0.000 0.000 0.469
Cd 0.500 0.500 0.761

! Li2ZnCd | Alexandria via LeMat-Bulk | SCAN | PBEsol geometry; values from VASP
! Energy of formation ... -0.214 eV per atom
! Volume ... 15.7 Å³ per atom
&SYSTEM
  ibrav = 0, nat = 4, ntyp = 3
/
ATOMIC_SPECIES
Li 6.94 Li.upf
Zn 65.41 Zn.upf
Cd 112.41 Cd.upf
CELL_PARAMETERS angstrom
3.032 -3.057 0.000
3.032 3.057 0.000
0.000 0.000 3.386
ATOMIC_POSITIONS crystal
Li 0.000 0.500 0.000
Li 0.500 0.000 0.000
Zn 0.000 0.000 0.500
Cd 0.500 0.500 0.500

! LiZr2Cd | Alexandria via LeMat-Bulk | SCAN | PBEsol geometry; values from VASP
! Energy of formation ... 0.098 eV per atom
! Volume ... 20.8 Å³ per atom
&SYSTEM
  ibrav = 0, nat = 4, ntyp = 3
/
ATOMIC_SPECIES
Li 6.94 Li.upf
Zr 91.22 Zr.upf
Cd 112.41 Cd.upf
CELL_PARAMETERS angstrom
1.482 0.855 10.951
-1.482 0.855 10.951
0.000 -1.711 10.951
ATOMIC_POSITIONS crystal
Li 0.000 0.000 0.000
Zr 0.248 0.248 0.248
Zr 0.752 0.752 0.752
Cd 0.500 0.500 0.500

! LiZr2Cd | Alexandria via LeMat-Bulk | SCAN | PBEsol geometry; values from VASP
! Energy of formation ... 0.021 eV per atom
! Volume ... 19.7 Å³ per atom
&SYSTEM
  ibrav = 0, nat = 4, ntyp = 3
/
ATOMIC_SPECIES
Li 6.94 Li.upf
Zr 91.22 Zr.upf
Cd 112.41 Cd.upf
CELL_PARAMETERS angstrom
-1.639 2.306 5.211
1.639 -2.306 5.211
1.639 2.306 -5.211
ATOMIC_POSITIONS crystal
Li 0.000 0.000 0.000
Zr 0.247 0.747 0.500
Zr 0.753 0.253 0.500
Cd 0.500 0.500 0.000

! Li2ZrCd | Alexandria via LeMat-Bulk | SCAN | PBEsol geometry; values from VASP
! Energy of formation ... 0.133 eV per atom
! Volume ... 19.6 Å³ per atom
&SYSTEM
  ibrav = 0, nat = 4, ntyp = 3
/
ATOMIC_SPECIES
Li 6.94 Li.upf
Zr 91.22 Zr.upf
Cd 112.41 Cd.upf
CELL_PARAMETERS angstrom
4.128 0.000 0.000
0.000 4.128 0.000
0.000 0.000 4.608
ATOMIC_POSITIONS crystal
Li 0.000 0.500 0.000
Li 0.500 0.000 0.000
Zr 0.000 0.000 0.500
Cd 0.500 0.500 0.500

! LiZr2Cd | Alexandria via LeMat-Bulk | SCAN | PBEsol geometry; values from VASP
! Energy of formation ... 0.093 eV per atom
! Volume ... 19.7 Å³ per atom
&SYSTEM
  ibrav = 0, nat = 4, ntyp = 3
/
ATOMIC_SPECIES
Li 6.94 Li.upf
Zr 91.22 Zr.upf
Cd 112.41 Cd.upf
CELL_PARAMETERS angstrom
-2.110 2.110 4.430
2.110 -2.110 4.430
2.110 2.110 -4.430
ATOMIC_POSITIONS crystal
Li 0.000 0.000 0.000
Zr 0.500 0.500 0.000
Zr 0.750 0.250 0.500
Cd 0.250 0.750 0.500

Which formula does entry 4 have? Li2ZnCd

Which formula does entry 7 have? Li2ZrCd

Look up the energy of formation of the eighth one. 0.093 eV per atom

energy of formation of number 4 (Li2ZnCd)? -0.214 eV per atom